Material: Pr4AlGa
Method: DFT, PBE
State: relaxed

a b c (Å): 5.160 5.160 7.437
angles (deg): 90.00 90.00 90.00
Space group P4/mmm (No. 123)
Asymmetric unit:
Pr 0.000 0.500 0.247 [4 per cell]
Al 0.000 0.000 0.500 [1 per cell]
Ga 0.500 0.500 0.000 [1 per cell]

* mass density: 5.54 Mg/m³
* crystal system: tetragonal
* calculated total energy: -0.1634 hartree per atom



Material: Pr2Al3Ga5
Method: DFT, PBE
State: relaxed

a b c (Å): 10.553 12.563 6.224
angles (deg): 90.00 90.00 90.00
Space group Ibam (No. 72)
Asymmetric unit:
Pr 0.240 0.126 0.000 [8 per cell]
Al 0.000 0.500 0.250 [4 per cell]
Al 0.117 0.133 0.500 [8 per cell]
Ga 0.000 0.000 0.250 [4 per cell]
Ga 0.000 0.269 0.250 [8 per cell]
Ga 0.146 0.386 0.000 [8 per cell]

* mass density: 5.73 Mg/m³
* crystal system: orthorhombic
* calculated total energy: -0.1467 hartree per atom



Question: calculated total energy of number 1 (Pr4AlGa)?
Answer: -0.1634 hartree per atom